(1)
KCa3Rh: optimized geometry, PBE-GGA.

Structure (CIF):
```
data_KCa3Rh
_chemical_formula_sum 'K2 Ca6 Rh2'
_cell_length_a 4.099
_cell_length_b 8.197
_cell_length_c 11.890
_cell_angle_alpha 85.42
_cell_angle_beta 80.15
_cell_angle_gamma 89.99
_symmetry_space_group_name_H-M 'P -1'
_symmetry_Int_Tables_number 2
loop_
_symmetry_equiv_pos_as_xyz
'x,y,z'
'-x,-y,-z'
loop_
_atom_site_label
_atom_site_type_symbol
_atom_site_fract_x
_atom_site_fract_y
_atom_site_fract_z
K1 K 0.042 0.270 0.416
Ca1 Ca 0.218 0.129 0.067
Ca2 Ca 0.311 0.516 0.878
Ca3 Ca 0.375 0.163 0.748
Rh1 Rh 0.204 0.743 0.091
```

Properties
- DFT formation energy: -0.94 eV per formula unit
- Raw total energy: -15.39 eV per formula unit

(2)
K2CaRh: optimized geometry, PBE-GGA.

Structure (CIF):
```
data_K2CaRh
_chemical_formula_sum 'K2 Ca1 Rh1'
_cell_length_a 4.380
_cell_length_b 3.645
_cell_length_c 10.255
_cell_angle_alpha 90.00
_cell_angle_beta 102.00
_cell_angle_gamma 90.00
_symmetry_space_group_name_H-M 'P 1 m 1'
_symmetry_Int_Tables_number 6
loop_
_symmetry_equiv_pos_as_xyz
'x,y,z'
'x,-y,z'
loop_
_atom_site_label
_atom_site_type_symbol
_atom_site_fract_x
_atom_site_fract_y
_atom_site_fract_z
K1 K 0.000 0.000 0.000
K2 K 0.301 0.500 0.611
Ca1 Ca 0.648 0.500 0.299
Rh1 Rh 0.160 0.000 0.322
```

Properties
- DFT formation energy: 0.43 eV per formula unit
- Raw total energy: -11.12 eV per formula unit

(3)
KCa2Rh: optimized geometry, PBE-GGA.

Structure (CIF):
```
data_KCa2Rh
_chemical_formula_sum 'K1 Ca2 Rh1'
_cell_length_a 5.064
_cell_length_b 5.064
_cell_length_c 4.459
_cell_angle_alpha 90.00
_cell_angle_beta 90.00
_cell_angle_gamma 90.00
_symmetry_space_group_name_H-M 'P 4/m m m'
_symmetry_Int_Tables_number 123
_symmetry_space_group_name_Hall '-P 4 2'
loop_
_atom_site_label
_atom_site_type_symbol
_atom_site_fract_x
_atom_site_fract_y
_atom_site_fract_z
K1 K 0.000 0.000 0.000
Ca1 Ca 0.000 0.500 0.500
Rh1 Rh 0.500 0.500 0.000
```

Properties
- DFT formation energy: 1.06 eV per formula unit
- Raw total energy: -11.39 eV per formula unit

(4)
KCa2Rh: optimized geometry, PBE-GGA.

Structure (CIF):
```
data_KCa2Rh
_chemical_formula_sum 'K1 Ca2 Rh1'
_cell_length_a 3.582
_cell_length_b 3.585
_cell_length_c 10.568
_cell_angle_alpha 90.00
_cell_angle_beta 90.56
_cell_angle_gamma 90.00
_symmetry_space_group_name_H-M 'P 1 2/m 1'
_symmetry_Int_Tables_number 10
loop_
_symmetry_equiv_pos_as_xyz
'x,y,z'
'-x,-y,-z'
'-x,y,-z'
'x,-y,z'
loop_
_atom_site_label
_atom_site_type_symbol
_atom_site_fract_x
_atom_site_fract_y
_atom_site_fract_z
K1 K 0.000 0.000 0.000
Ca1 Ca 0.496 0.500 0.347
Rh1 Rh 0.000 0.000 0.500
```

Properties
- DFT formation energy: -0.63 eV per formula unit
- Raw total energy: -13.08 eV per formula unit

(5)
KCaRh4: optimized geometry, PBE-GGA.

Structure (CIF):
```
data_KCaRh4
_chemical_formula_sum 'K4 Ca4 Rh16'
_cell_length_a 7.652
_cell_length_b 7.652
_cell_length_c 7.652
_cell_angle_alpha 90.00
_cell_angle_beta 90.00
_cell_angle_gamma 90.00
_symmetry_space_group_name_H-M 'F -4 3 m'
_symmetry_Int_Tables_number 216
_symmetry_space_group_name_Hall 'F -4 2 3'
loop_
_atom_site_label
_atom_site_type_symbol
_atom_site_fract_x
_atom_site_fract_y
_atom_site_fract_z
K1 K 0.000 0.000 0.000
Ca1 Ca 0.250 0.250 0.250
Rh1 Rh 0.125 0.125 0.625
```

Properties
- DFT formation energy: 0.54 eV per formula unit
- Raw total energy: -31.97 eV per formula unit

(6)
KCa3Rh: optimized geometry, PBE-GGA.

Structure (CIF):
```
data_KCa3Rh
_chemical_formula_sum 'K2 Ca6 Rh2'
_cell_length_a 5.6338
_cell_length_b 5.6338
_cell_length_c 11.5545
_cell_angle_alpha 90.00
_cell_angle_beta 90.00
_cell_angle_gamma 120.00
_symmetry_space_group_name_H-M 'P 63/m m c'
_symmetry_Int_Tables_number 194
_symmetry_space_group_name_Hall '-P 6c 2c'
loop_
_atom_site_label
_atom_site_type_symbol
_atom_site_fract_x
_atom_site_fract_y
_atom_site_fract_z
K1 K 0.3333 0.6667 0.2500
Ca1 Ca 0.0000 0.0000 0.2500
Ca2 Ca 0.3333 0.6667 0.5603
Rh1 Rh 0.0000 0.0000 0.0000
```

Properties
- DFT formation energy: 0.15 eV per formula unit
- Raw total energy: -14.30 eV per formula unit

(7)
KCa3Rh: optimized geometry, PBE-GGA.

Structure (CIF):
```
data_KCa3Rh
_chemical_formula_sum 'K1 Ca3 Rh1'
_cell_length_a 5.615
_cell_length_b 4.261
_cell_length_c 8.350
_cell_angle_alpha 90.00
_cell_angle_beta 90.28
_cell_angle_gamma 90.00
_symmetry_space_group_name_H-M 'P 1 2/m 1'
_symmetry_Int_Tables_number 10
loop_
_symmetry_equiv_pos_as_xyz
'x,y,z'
'-x,-y,-z'
'-x,y,-z'
'x,-y,z'
loop_
_atom_site_label
_atom_site_type_symbol
_atom_site_fract_x
_atom_site_fract_y
_atom_site_fract_z
K1 K 0.000 0.000 0.000
Ca1 Ca 0.000 0.000 0.500
Ca2 Ca 0.500 0.500 0.283
Rh1 Rh 0.500 0.000 0.500
```

Properties
- DFT formation energy: -0.76 eV per formula unit
- Raw total energy: -15.21 eV per formula unit

(8)
K2CaRh: optimized geometry, PBE-GGA.

Structure (CIF):
```
data_K2CaRh
_chemical_formula_sum 'K4 Ca2 Rh2'
_cell_length_a 4.991
_cell_length_b 5.004
_cell_length_c 11.772
_cell_angle_alpha 90.00
_cell_angle_beta 90.00
_cell_angle_gamma 90.00
_symmetry_space_group_name_H-M 'C m m m'
_symmetry_Int_Tables_number 65
_symmetry_space_group_name_Hall '-C 2 2'
loop_
_atom_site_label
_atom_site_type_symbol
_atom_site_fract_x
_atom_site_fract_y
_atom_site_fract_z
K1 K 0.000 0.000 0.179
Ca1 Ca 0.000 0.500 0.500
Rh1 Rh 0.000 0.500 0.000
```

Properties
- DFT formation energy: 2.51 eV per formula unit
- Raw total energy: -9.04 eV per formula unit